No. 1
DFT (GGA-PBE) results for Cr2HgCl after structural relaxation.

```
data_Cr2HgCl
_chemical_formula_sum 'Cr2 Hg1 Cl1'
_cell_length_a 3.2528
_cell_length_b 3.2528
_cell_length_c 7.3046
_cell_angle_alpha 90.00
_cell_angle_beta 90.00
_cell_angle_gamma 90.00
_space_group_name_H-M_alt 'P 4/m m m'
_space_group_IT_number 123
_space_group_name_Hall '-P 4 2'
loop_
_atom_site_label
_atom_site_type_symbol
_atom_site_fract_x
_atom_site_fract_y
_atom_site_fract_z
Cr1 Cr 0.0000 0.0000 0.2476
Hg1 Hg 0.5000 0.5000 0.0000
Cl1 Cl 0.5000 0.5000 0.5000
```

Properties
M_tot: 8.8 μB per cell
N(E_F): 1.90 states/eV/cell
Calculated total energy: -4.965 eV per atom
Energy above the most stable polymorph in this dataset: 1.18 eV per formula unit


No. 2
DFT (GGA-PBE) results for CrHgCl3 after structural relaxation.

```
data_CrHgCl3
_chemical_formula_sum 'Cr1 Hg1 Cl3'
_cell_length_a 4.8756
_cell_length_b 4.8756
_cell_length_c 4.8756
_cell_angle_alpha 90.00
_cell_angle_beta 90.00
_cell_angle_gamma 90.00
_space_group_name_H-M_alt 'P m -3 m'
_space_group_IT_number 221
_space_group_name_Hall '-P 4 2 3'
loop_
_atom_site_label
_atom_site_type_symbol
_atom_site_fract_x
_atom_site_fract_y
_atom_site_fract_z
Cr1 Cr 0.0000 0.0000 0.0000
Hg1 Hg 0.5000 0.5000 0.5000
Cl1 Cl 0.0000 0.0000 0.5000
```

Properties
M_tot: 3.0 μB per cell
N(E_F): 2.45 states/eV/cell
Calculated total energy: -3.709 eV per atom
Energy above the most stable polymorph in this dataset: 1.30 eV per formula unit


Question: Look up the calculated total energy of the second one.
Answer: -3.709 eV per atom


Question: energy above the most stable polymorph in this dataset of number 1 (Cr2HgCl)?
Answer: 1.18 eV per formula unit